# 1
The following is a SCAN calculation of MgZrRu2F at its PBEsol-relaxed geometry, from the Alexandria database.

a = 4.340 Å, b = 4.340 Å, c = 4.125 Å
α = 90.00°, β = 90.00°, γ = 90.00°
Space group P4/mmm (No. 123)
One atom of each set of equivalent atoms:
Mg (0.000, 0.000, 0.000) x1
Zr (0.500, 0.500, 0.000) x1
Ru (0.000, 0.500, 0.500) x2
F (0.500, 0.500, 0.500) x1

Summary:
raw formation energy = 0.03 eV/atom

# 2
The following is a SCAN calculation of GaRe3Pt at its PBEsol-relaxed geometry, from the Alexandria database.

a = 4.410 Å, b = 4.410 Å, c = 4.410 Å
α = 90.00°, β = 90.00°, γ = 90.00°
Space group Pm-3m (No. 221)
One atom of each set of equivalent atoms:
Ga (0.000, 0.000, 0.000) x1
Re (0.000, 0.000, 0.500) x3
Pt (0.500, 0.500, 0.500) x1

Summary:
E_form = 195.3 kJ per mole of atoms

# 3
The following is a SCAN calculation of MgSiSb2 at its PBEsol-relaxed geometry, from the Alexandria database.

a = 3.456 Å, b = 3.456 Å, c = 7.389 Å
α = 90.00°, β = 90.00°, γ = 90.00°
Space group P4/mmm (No. 123)
One atom of each set of equivalent atoms:
Mg (0.000, 0.000, 0.000) x1
Si (0.000, 0.000, 0.500) x1
Sb (0.500, 0.500, 0.271) x2

Summary:
raw formation energy = 0.29 eV/atom

# 4
The following is a SCAN calculation of YInBr2 at its PBEsol-relaxed geometry, from the Alexandria database.

a = 3.680 Å, b = 4.749 Å, c = 5.820 Å
α = 90.00°, β = 90.00°, γ = 90.00°
Space group Pmmm (No. 47)
One atom of each set of equivalent atoms:
Y (0.000, 0.000, 0.000) x1
In (0.500, 0.000, 0.500) x1
Br (0.000, 0.500, 0.500) x1
Br (0.500, 0.500, 0.000) x1

Summary:
raw formation energy = -0.93 eV/atom
ΔE to the lowest computed polymorph = 0 meV per atom

# 5
The following is a SCAN calculation of LaCuSnPd2 at its PBEsol-relaxed geometry, from the Alexandria database.

a = 4.877 Å, b = 4.877 Å, c = 5.912 Å
α = 90.00°, β = 90.00°, γ = 90.00°
Space group P4/mmm (No. 123)
One atom of each set of equivalent atoms:
La (0.000, 0.000, 0.000) x1
Cu (0.500, 0.500, 0.000) x1
Sn (0.000, 0.000, 0.500) x1
Pd (0.000, 0.500, 0.500) x2

Summary:
E_form = 56.9 kJ per mole of atoms

# 6
The following is a SCAN calculation of Cs2Tl2S at its PBEsol-relaxed geometry, from the Alexandria database.

a = 5.002 Å, b = 5.002 Å, c = 15.904 Å
α = 90.00°, β = 90.00°, γ = 90.00°
Space group I4/mmm (No. 139)
One atom of each set of equivalent atoms:
Cs (0.000, 0.500, 0.250) x4
Tl (0.000, 0.000, 0.085) x4
S (0.000, 0.000, 0.500) x2

Summary:
raw formation energy = 0.16 eV/atom

# 7
The following is a SCAN calculation of Li2ZrTlCd at its PBEsol-relaxed geometry, from the Alexandria database.

a = 5.317 Å, b = 5.317 Å, c = 5.502 Å
α = 90.00°, β = 90.00°, γ = 90.00°
Space group P4/mmm (No. 123)
One atom of each set of equivalent atoms:
Li (0.000, 0.500, 0.000) x2
Zr (0.000, 0.000, 0.000) x1
Tl (0.500, 0.500, 0.500) x1
Cd (0.000, 0.000, 0.500) x1

Summary:
E_form = 92.7 kJ per mole of atoms

# 8
The following is a SCAN calculation of CeTeCl at its PBEsol-relaxed geometry, from the Alexandria database.

a = 4.400 Å, b = 4.400 Å, c = 8.125 Å
α = 90.00°, β = 90.00°, γ = 90.00°
Space group P4/nmm (No. 129, origin choice 2)
One atom of each set of equivalent atoms:
Ce (0.250, 0.250, 0.241) x2
Te (0.250, 0.250, 0.637) x2
Cl (0.250, 0.750, 0.000) x2

Summary:
raw formation energy = -1.99 eV/atom
ΔE to the lowest computed polymorph = 47 meV per atom

# 9
The following is a SCAN calculation of MnTe3Cl at its PBEsol-relaxed geometry, from the Alexandria database.

a = 5.255 Å, b = 5.255 Å, c = 5.255 Å
α = 90.00°, β = 90.00°, γ = 90.00°
Space group Pm-3m (No. 221)
One atom of each set of equivalent atoms:
Mn (0.000, 0.000, 0.000) x1
Te (0.000, 0.500, 0.500) x3
Cl (0.500, 0.500, 0.500) x1

Summary:
raw formation energy = 0.74 eV/atom

# 10
The following is a SCAN calculation of Sc2FePb at its PBEsol-relaxed geometry, from the Alexandria database.

a = 3.2633 Å, b = 3.2633 Å, c = 27.0846 Å
α = 90.00°, β = 90.00°, γ = 120.00°
Space group R3m (No. 160, hexagonal axes)
One atom of each set of equivalent atoms:
Sc (0.0000, 0.0000, 0.0000) x3
Sc (0.0000, 0.0000, 0.2344) x3
Fe (0.0000, 0.0000, 0.7356) x3
Pb (0.0000, 0.0000, 0.4753) x3

Summary:
E_form = 16.8 kJ per mole of atoms

# 11
The following is a SCAN calculation of CsZrCuSe3 at its PBEsol-relaxed geometry, from the Alexandria database.

a = 3.869 Å, b = 15.863 Å, c = 10.096 Å
α = 90.00°, β = 90.00°, γ = 90.00°
Space group Cmcm (No. 63)
One atom of each set of equivalent atoms:
Cs (0.000, 0.246, 0.250) x4
Zr (0.000, 0.500, 0.000) x4
Cu (0.000, 0.031, 0.750) x4
Se (0.000, 0.114, 0.552) x8
Se (0.000, 0.439, 0.750) x4

Summary:
raw formation energy = -1.31 eV/atom

# 12
The following is a SCAN calculation of KFe2Cu at its PBEsol-relaxed geometry, from the Alexandria database.

a = 2.6440 Å, b = 2.6440 Å, c = 29.3723 Å
α = 90.00°, β = 90.00°, γ = 120.00°
Space group R-3m (No. 166, hexagonal axes)
One atom of each set of equivalent atoms:
K (0.0000, 0.0000, 0.0000) x3
Fe (0.0000, 0.0000, 0.2356) x6
Cu (0.0000, 0.0000, 0.5000) x3

Summary:
E_form = 83.0 kJ per mole of atoms
ΔE to the lowest computed polymorph = 107 meV per atom